1.
Entry from OQMD via LeMat-Bulk: a relaxed RbLiSm crystal (GGA-PBE).

a b c (Å): 8.0593 8.0593 8.0593
angles (deg): 90.00 90.00 90.00
With the nearest neighbours (Å) after each atom.
Space group F-43m (No. 216)
Symmetry-distinct sites (fractional):
Rb 0.0000 0.0000 0.0000 (multiplicity 4)  4 Li 3.49
Li 0.2500 0.2500 0.2500 (multiplicity 4)  4 Sm 3.49, 4 Rb 3.49
Sm 0.0000 0.0000 0.5000 (multiplicity 4)  4 Li 3.49

* ρ: 3080 kg/m3
* relative energy among the computed polymorphs: 0 meV per atom
* size of the total moment: 0.97 μB/cell


2.
Entry from OQMD via LeMat-Bulk: a relaxed Na2Zn2O3 crystal (GGA-PBE).

a b c (Å): 6.1784 6.1784 9.4012
angles (deg): 90.00 90.00 90.00
With the nearest neighbours (Å) after each atom.
Space group P4_32_12 (No. 96)
Symmetry-distinct sites (fractional):
Na 0.0325 0.2463 0.3540 (multiplicity 8)  4 O 2.28-2.46
Zn 0.0411 0.2445 0.8858 (multiplicity 8)  4 O 1.92-2.09
O 0.0137 0.7432 0.5947 (multiplicity 8)  3 Zn 1.99-2.09
O 0.1826 0.8174 0.2500 (multiplicity 4)  2 Zn 1.92

* ρ: 4161 kg/m3
* energy: -119.50 eV per cell


Which of these has the highest ρ?
Na2Zn2O3